one:
Density functional theory data (GGA-PBE) for crystalline NiAuI2 at its relaxed geometry.

Properties
SG = I-42d

a = 6.2696 Å, b = 6.2696 Å, c = 12.0254 Å
α = 90.00°, β = 90.00°, γ = 90.00°
Fractional positions:
Ni 0.0000 0.0000 0.0000
Ni 0.0000 0.5000 0.2500
Ni 0.5000 0.0000 0.7500
Ni 0.5000 0.5000 0.5000
Au 0.0000 0.0000 0.5000
Au 0.0000 0.5000 0.7500
Au 0.5000 0.0000 0.2500
Au 0.5000 0.5000 0.0000
I 0.2104 0.2500 0.1250
I 0.2500 0.7104 0.3750
I 0.2500 0.7896 0.8750
I 0.2896 0.2500 0.6250
I 0.7104 0.7500 0.6250
I 0.7500 0.2104 0.8750
I 0.7500 0.2896 0.3750
I 0.7896 0.7500 0.1250

two:
Density functional theory data (GGA-PBE) for crystalline NiAuI2 at its relaxed geometry.

Properties
SG = Fm-3m

a = 7.3232 Å, b = 7.3232 Å, c = 7.3232 Å
α = 90.00°, β = 90.00°, γ = 90.00°
Fractional positions:
Ni 0.0000 0.0000 0.0000
Ni 0.0000 0.5000 0.5000
Ni 0.5000 0.0000 0.5000
Ni 0.5000 0.5000 0.0000
Au 0.0000 0.0000 0.5000
Au 0.0000 0.5000 0.0000
Au 0.5000 0.0000 0.0000
Au 0.5000 0.5000 0.5000
I 0.2500 0.2500 0.2500
I 0.2500 0.2500 0.7500
I 0.2500 0.7500 0.2500
I 0.2500 0.7500 0.7500
I 0.7500 0.2500 0.2500
I 0.7500 0.2500 0.7500
I 0.7500 0.7500 0.2500
I 0.7500 0.7500 0.7500

three:
Density functional theory data (GGA-PBE) for crystalline NiAuI2 at its relaxed geometry.

Properties
SG = R-3m

a = 4.0857 Å, b = 4.0857 Å, c = 24.3911 Å
α = 90.00°, β = 90.00°, γ = 120.00°
Fractional positions:
Ni 0.0000 0.0000 0.0000
Ni 0.3333 0.6667 0.6667
Ni 0.6667 0.3333 0.3333
Au 0.0000 0.0000 0.5000
Au 0.3333 0.6667 0.1667
Au 0.6667 0.3333 0.8333
I 0.0000 0.0000 0.3923
I 0.0000 0.0000 0.6077
I 0.3333 0.6667 0.0590
I 0.3333 0.6667 0.2744
I 0.6667 0.3333 0.7256
I 0.6667 0.3333 0.9410

Which is the most stable structure? one is the most stable.